(i)
Computed, not measured: a relaxed EuHo2Zn crystal at the PBE level of DFT.

Cell lengths 3.547, 3.547, 33.823 Å; angles 90.00, 90.00, 120.00 degrees
Element x y z (fractional)
Eu: 0.000 0.000 0.000
Eu: 0.333 0.667 0.667
Eu: 0.667 0.333 0.333
Ho: 0.000 0.000 0.103
Ho: 0.000 0.000 0.897
Ho: 0.333 0.667 0.564
Ho: 0.333 0.667 0.769
Ho: 0.667 0.333 0.231
Ho: 0.667 0.333 0.436
Zn: 0.000 0.000 0.500
Zn: 0.333 0.667 0.167
Zn: 0.667 0.333 0.833

Crystal system: trigonal

(ii)
Computed, not measured: a relaxed EuHo2Zn crystal at the PBE level of DFT.

Cell lengths 3.598, 3.598, 8.941 Å; angles 90.00, 90.00, 90.00 degrees
Element x y z (fractional)
Eu: 0.000 0.000 0.000
Ho: 0.500 0.500 0.310
Ho: 0.500 0.500 0.690
Zn: 0.000 0.000 0.500

Crystal system: tetragonal

Which structure is the least stable? The one labeled (i).

(i)
Computed, not measured: a relaxed Eu2InI crystal at the PBE level of DFT.

Cell lengths 4.304, 4.304, 27.010 Å; angles 90.00, 90.00, 120.00 degrees
Element x y z (fractional)
Eu: 0.000 0.000 0.248
Eu: 0.000 0.000 0.752
Eu: 0.333 0.667 0.419
Eu: 0.333 0.667 0.914
Eu: 0.667 0.333 0.086
Eu: 0.667 0.333 0.581
In: 0.000 0.000 0.500
In: 0.333 0.667 0.167
In: 0.667 0.333 0.833
I: 0.000 0.000 0.000
I: 0.333 0.667 0.667
I: 0.667 0.333 0.333

Crystal system: trigonal

(ii)
Computed, not measured: a relaxed Eu2InI crystal at the PBE level of DFT.

Cell lengths 3.886, 3.886, 8.799 Å; angles 90.00, 90.00, 90.00 degrees
Element x y z (fractional)
Eu: 0.000 0.000 0.233
Eu: 0.000 0.000 0.767
In: 0.500 0.500 0.000
I: 0.500 0.500 0.500

Crystal system: tetragonal

Which structure is the least stable? The one labeled (i).

(i)
Computed, not measured: a relaxed Eu2IrI crystal at the PBE level of DFT.

Cell lengths 4.268, 4.268, 23.757 Å; angles 90.00, 90.00, 120.00 degrees
Element x y z (fractional)
Eu: 0.000 0.000 0.231
Eu: 0.000 0.000 0.769
Eu: 0.333 0.667 0.436
Eu: 0.333 0.667 0.898
Eu: 0.667 0.333 0.102
Eu: 0.667 0.333 0.564
Ir: 0.000 0.000 0.500
Ir: 0.333 0.667 0.167
Ir: 0.667 0.333 0.833
I: 0.000 0.000 0.000
I: 0.333 0.667 0.667
I: 0.667 0.333 0.333

Crystal system: trigonal

(ii)
Computed, not measured: a relaxed Eu2IrI crystal at the PBE level of DFT.

Cell lengths 3.685, 3.685, 8.139 Å; angles 90.00, 90.00, 90.00 degrees
Element x y z (fractional)
Eu: 0.000 0.000 0.204
Eu: 0.000 0.000 0.796
Ir: 0.500 0.500 0.000
I: 0.500 0.500 0.500

Crystal system: tetragonal

Which structure is the least stable? The one labeled (ii).

(i)
Computed, not measured: a relaxed KEuI2 crystal at the PBE level of DFT.

Cell lengths 8.362, 8.362, 8.362 Å; angles 90.00, 90.00, 90.00 degrees
Element x y z (fractional)
K: 0.000 0.000 0.000
K: 0.000 0.500 0.500
K: 0.500 0.000 0.500
K: 0.500 0.500 0.000
Eu: 0.000 0.000 0.500
Eu: 0.000 0.500 0.000
Eu: 0.500 0.000 0.000
Eu: 0.500 0.500 0.500
I: 0.250 0.250 0.250
I: 0.250 0.250 0.750
I: 0.250 0.750 0.250
I: 0.250 0.750 0.750
I: 0.750 0.250 0.250
I: 0.750 0.250 0.750
I: 0.750 0.750 0.250
I: 0.750 0.750 0.750

Crystal system: cubic

(ii)
Computed, not measured: a relaxed KEuI2 crystal at the PBE level of DFT.

Cell lengths 4.432, 4.432, 28.055 Å; angles 90.00, 90.00, 120.00 degrees
Element x y z (fractional)
K: 0.000 0.000 0.000
K: 0.333 0.667 0.667
K: 0.667 0.333 0.333
Eu: 0.000 0.000 0.500
Eu: 0.333 0.667 0.167
Eu: 0.667 0.333 0.833
I: 0.000 0.000 0.247
I: 0.000 0.000 0.753
I: 0.333 0.667 0.420
I: 0.333 0.667 0.913
I: 0.667 0.333 0.087
I: 0.667 0.333 0.580

Crystal system: trigonal

(iii)
Computed, not measured: a relaxed KEuI2 crystal at the PBE level of DFT.

Cell lengths 4.118, 4.118, 8.546 Å; angles 90.00, 90.00, 90.00 degrees
Element x y z (fractional)
K: 0.000 0.000 0.000
Eu: 0.000 0.000 0.500
I: 0.500 0.500 0.270
I: 0.500 0.500 0.730

Crystal system: tetragonal

Which structure is the least stable? The one labeled (i).